one | {
  "formula": "IrRu2W",
  "functional": "meta-GGA SCAN",
  "state": "single point on PBEsol structure",
  "cell": [[3.817, 0.000, 0.000], [0.000, 3.831, 0.000], [0.000, 0.000, 3.831]],
  "species": ["Ru", "Ru", "W", "Ir"],
  "fractional_positions": [[0.000, 0.000, 0.500], [0.000, 0.500, 0.000], [0.500, 0.500, 0.500], [0.500, 0.000, 0.000]],
  "mass_density_g_cm3": 17.13,
  "total_magnetization_mub_per_cell": 0.004,
  "space_group": "P4/mmm (123)"
}

two | {
  "formula": "IrRu2W",
  "functional": "meta-GGA SCAN",
  "state": "single point on PBEsol structure",
  "cell": [[3.839, 0.000, 0.000], [0.000, 3.839, 0.000], [-1.919, -1.919, 3.815]],
  "species": ["W", "Ir", "Ru", "Ru"],
  "fractional_positions": [[0.000, 0.000, 0.000], [0.500, 0.500, 0.000], [0.750, 0.250, 0.500], [0.250, 0.750, 0.500]],
  "mass_density_g_cm3": 17.08,
  "total_magnetization_mub_per_cell": 0.000,
  "space_group": "I4/mmm (139)"
}

Most stable one: one, least stable one: two.

one | {
  "formula": "Zr2FeW",
  "functional": "meta-GGA SCAN",
  "state": "single point on PBEsol structure",
  "cell": [[2.892, 0.000, 0.014], [0.000, 4.346, 0.000], [-0.856, 0.000, 5.311]],
  "species": ["Fe", "W", "Zr", "Zr"],
  "fractional_positions": [[0.500, 0.500, 0.000], [0.000, 0.500, 0.500], [0.257, 0.000, 0.242], [0.743, 0.000, 0.758]],
  "mass_density_g_cm3": 10.49,
  "total_magnetization_mub_per_cell": 1.178,
  "space_group": "P2/m (10)"
}

two | {
  "formula": "Zr2FeW",
  "functional": "meta-GGA SCAN",
  "state": "single point on PBEsol structure",
  "cell": [[3.206, 0.000, 0.000], [0.000, 4.504, 0.000], [-1.603, -2.252, 4.666]],
  "species": ["Zr", "Zr", "Fe", "W"],
  "fractional_positions": [[0.763, 0.263, 0.526], [0.995, 0.995, 0.989], [0.512, 0.512, 0.023], [0.230, 0.730, 0.461]],
  "mass_density_g_cm3": 10.40,
  "total_magnetization_mub_per_cell": 0.516,
  "space_group": "Imm2 (44)"
}

Most stable one: two, least stable one: one.

one | {
  "formula": "Ir2Se",
  "functional": "meta-GGA SCAN",
  "state": "single point on PBEsol structure",
  "cell": [[-1.943, -3.035, -3.751], [3.207, -2.570, -3.188], [0.427, -5.171, 0.357]],
  "species": ["Ir", "Ir", "Ir", "Ir", "Se", "Se"],
  "fractional_positions": [[0.125, 0.125, 0.125], [0.625, 0.125, 0.125], [0.125, 0.125, 0.625], [0.125, 0.625, 0.125], [0.500, 0.500, 0.500], [0.750, 0.750, 0.750]],
  "mass_density_g_cm3": 15.47,
  "total_magnetization_mub_per_cell": 0.002,
  "space_group": "Fd-3m (227)"
}

two | {
  "formula": "Ir2Se",
  "functional": "meta-GGA SCAN",
  "state": "single point on PBEsol structure",
  "cell": [[2.857, -0.001, 0.001], [-0.001, 2.857, 0.001], [-1.427, -1.427, 5.494]],
  "species": ["Se", "Ir", "Ir"],
  "fractional_positions": [[0.000, 0.000, 0.000], [0.666, 0.666, 0.333], [0.334, 0.334, 0.667]],
  "mass_density_g_cm3": 17.15,
  "total_magnetization_mub_per_cell": 0.000,
  "space_group": "I4/mmm (139)"
}

Most stable one: two, least stable one: one.